a | VCrP2O: optimized geometry, GGA+U.

## Properties
For the density, the calculation gives 3.771 Mg/m³. As for the space-group type: No. 123.

The structure in extended XYZ format:
```
5
Lattice="4.781 0.000 0.000 0.000 4.781 0.000 0.000 0.000 3.485" Properties=species:S:1:pos:R:3 pbc="T T T"
V 0.000 0.000 0.000
Cr 2.390 2.390 1.743
P 0.000 2.390 1.743
P 2.390 0.000 1.743
O 2.390 2.390 0.000
```

---

b | VCrP2O: optimized geometry, GGA+U.

## Properties
For the density, the calculation gives 3.695 Mg/m³. As for the space-group type: No. 123.

The structure in extended XYZ format:
```
5
Lattice="4.753 0.000 0.000 0.000 4.753 0.000 0.000 0.000 3.598" Properties=species:S:1:pos:R:3 pbc="T T T"
V 0.000 0.000 0.000
Cr 2.377 2.377 1.799
P 0.000 2.377 0.000
P 2.377 0.000 0.000
O 0.000 0.000 1.799
```

---

On energetic grounds, b is preferred over the next structure by 400 meV per atom.

---

a | CrPWO2: optimized geometry, GGA+U.

## Properties
For the density, the calculation gives 6.319 Mg/m³. As for the space-group type: No. 123.

The structure in extended XYZ format:
```
5
Lattice="3.845 0.000 0.000 0.000 3.845 0.000 0.000 0.000 5.310" Properties=species:S:1:pos:R:3 pbc="T T T"
Cr 0.000 0.000 0.000
P 1.923 1.923 0.000
W 1.923 1.923 2.655
O 0.000 1.923 2.655
O 1.923 0.000 2.655
```

---

b | CrPWO2: optimized geometry, GGA+U.

## Properties
For the density, the calculation gives 6.768 Mg/m³. As for the space-group type: No. 123.

The structure in extended XYZ format:
```
5
Lattice="3.675 0.000 0.000 0.000 3.675 0.000 0.000 0.000 5.430" Properties=species:S:1:pos:R:3 pbc="T T T"
Cr 0.000 0.000 0.000
P 0.000 0.000 2.715
W 1.837 1.837 2.715
O 0.000 1.837 0.000
O 1.837 0.000 0.000
```

---

On energetic grounds, a is preferred over the next structure by 614 meV per atom.

---

a | ZnCrP2O: optimized geometry, GGA+U.

## Properties
For the density, the calculation gives 3.855 Mg/m³. As for the space-group type: No. 123.

The structure in extended XYZ format:
```
5
Lattice="4.832 0.000 0.000 0.000 4.832 0.000 0.000 0.000 3.604" Properties=species:S:1:pos:R:3 pbc="T T T"
Zn 0.000 0.000 0.000
Cr 2.416 2.416 1.802
P 0.000 2.416 0.000
P 2.416 0.000 0.000
O 0.000 0.000 1.802
```

---

b | ZnCrP2O: optimized geometry, GGA+U.

## Properties
For the density, the calculation gives 3.965 Mg/m³. As for the space-group type: No. 123.

The structure in extended XYZ format:
```
5
Lattice="4.832 0.000 0.000 0.000 4.832 0.000 0.000 0.000 3.504" Properties=species:S:1:pos:R:3 pbc="T T T"
Zn 0.000 0.000 0.000
Cr 2.416 2.416 1.752
P 0.000 2.416 1.752
P 2.416 0.000 1.752
O 2.416 2.416 0.000
```

---

On energetic grounds, b is preferred over the next structure by 687 meV per atom.

---

a | CrPb2O2: optimized geometry, GGA+U.

## Properties
For the density, the calculation gives 9.193 Mg/m³. As for the space-group type: No. 127.

The structure in extended XYZ format:
```
10
Lattice="6.167 0.000 0.000 0.000 6.167 0.000 0.000 0.000 4.734" Properties=species:S:1:pos:R:3 pbc="T T T"
Cr 0.000 0.000 0.000
Cr 3.084 3.084 0.000
Pb 1.112 1.971 2.367
Pb 1.971 5.055 2.367
Pb 4.196 1.112 2.367
Pb 5.055 4.196 2.367
O 1.514 4.598 0.000
O 1.569 1.514 0.000
O 4.598 4.653 0.000
O 4.653 1.569 0.000
```

---

b | CrPb2O2: optimized geometry, GGA+U.

## Properties
For the density, the calculation gives 7.659 Mg/m³. As for the space-group type: No. 139.

The structure in extended XYZ format:
```
5
Lattice="-2.588 2.588 4.035 2.588 -2.588 4.035 2.588 2.588 -4.035" Properties=species:S:1:pos:R:3 pbc="T T T"
Cr 0.000 0.000 0.000
Pb 2.588 0.000 2.017
Pb 0.000 2.588 2.017
O 0.000 0.000 1.969
O 0.000 0.000 6.100
```

---

On energetic grounds, a is preferred over the next structure by 27 meV per atom.

---

a | Cr2PbO: optimized geometry, GGA+U.

## Properties
For the density, the calculation gives 7.495 Mg/m³. As for the space-group type: No. 225.

The structure in extended XYZ format:
```
4
Lattice="0.000 3.309 3.309 3.309 0.000 3.309 3.309 3.309 0.000" Properties=species:S:1:pos:R:3 pbc="T T T"
Cr 1.655 1.655 1.655
Cr 4.964 4.964 4.964
Pb 0.000 0.000 0.000
O 3.309 3.309 3.309
```

---

b | Cr2PbO: optimized geometry, GGA+U.

## Properties
For the density, the calculation gives 5.949 Mg/m³. As for the space-group type: No. 122.

The structure in extended XYZ format:
```
8
Lattice="-3.148 3.148 4.608 3.148 -3.148 4.608 3.148 3.148 -4.608" Properties=species:S:1:pos:R:3 pbc="T T T"
Cr 0.011 1.574 1.152
Cr -1.574 3.137 3.456
Cr -0.011 4.722 1.152
Cr 1.574 3.159 3.456
Pb 3.148 0.000 2.304
Pb 0.000 0.000 4.608
O 0.000 0.000 0.000
O 0.000 3.148 2.304
```

---

On energetic grounds, b is preferred over the next structure by 946 meV per atom.

---

a | Cr3PdO: optimized geometry, GGA+U.

## Properties
For the density, the calculation gives 6.125 Mg/m³. As for the space-group type: No. 221.

The structure in extended XYZ format:
```
5
Lattice="4.226 0.000 0.000 0.000 4.226 0.000 0.000 0.000 4.226" Properties=species:S:1:pos:R:3 pbc="T T T"
Cr 0.000 0.000 2.113
Cr 0.000 2.113 0.000
Cr 2.113 0.000 0.000
Pd 2.113 2.113 2.113
O 0.000 0.000 0.000
```

---

b | Cr3PdO: optimized geometry, GGA+U.

## Properties
For the density, the calculation gives 3.789 Mg/m³. As for the space-group type: No. 221.

The structure in extended XYZ format:
```
5
Lattice="4.960 0.000 0.000 0.000 4.960 0.000 0.000 0.000 4.960" Properties=species:S:1:pos:R:3 pbc="T T T"
Cr 0.000 0.000 2.480
Cr 0.000 2.480 0.000
Cr 2.480 0.000 0.000
Pd 0.000 0.000 0.000
O 2.480 2.480 2.480
```

---

On energetic grounds, a is preferred over the next structure by 1509 meV per atom.

---

a | CrPtO2: optimized geometry, GGA+U.

## Properties
For the density, the calculation gives 10.111 Mg/m³. As for the space-group type: No. 166.

The structure in extended XYZ format:
```
4
Lattice="1.473 0.850 6.097 -1.473 0.850 6.097 0.000 -1.701 6.097" Properties=species:S:1:pos:R:3 pbc="T T T"
Cr 0.000 0.000 0.000
Pt 0.000 0.000 9.146
O 0.000 0.000 7.128
O 0.000 0.000 11.164
```

---

b | CrPtO2: optimized geometry, GGA+U.

## Properties
For the density, the calculation gives 8.453 Mg/m³. As for the space-group type: No. 122.

The structure in extended XYZ format:
```
8
Lattice="-2.320 2.320 5.093 2.320 -2.320 5.093 2.320 2.320 -5.093" Properties=species:S:1:pos:R:3 pbc="T T T"
Cr 0.000 0.000 0.000
Cr 0.000 2.320 2.547
Pt 2.320 0.000 2.547
Pt 0.000 0.000 5.093
O 3.480 0.886 -1.273
O 0.886 1.160 1.273
O -1.160 1.434 3.820
O 1.434 1.160 6.367
```

---

c | CrPtO2: optimized geometry, GGA+U.

## Properties
For the density, the calculation gives 8.264 Mg/m³. As for the space-group type: No. 166.

The structure in extended XYZ format:
```
4
Lattice="1.700 0.982 5.599 -1.700 0.982 5.599 0.000 -1.963 5.599" Properties=species:S:1:pos:R:3 pbc="T T T"
Cr 0.000 0.000 0.000
Pt 0.000 0.000 8.398
O 0.000 0.000 1.974
O 0.000 0.000 14.822
```

---

d | CrPtO2: optimized geometry, GGA+U.

## Properties
For the density, the calculation gives 10.687 Mg/m³. As for the space-group type: No. 225.

The structure in extended XYZ format:
```
4
Lattice="0.000 2.788 2.788 2.788 0.000 2.788 2.788 2.788 0.000" Properties=species:S:1:pos:R:3 pbc="T T T"
Cr 0.000 0.000 0.000
Pt 2.788 2.788 2.788
O 1.394 1.394 1.394
O 4.183 4.183 4.183
```

---

On energetic grounds, a is preferred over the next structure by 895 meV per atom.

---

a | CrReO2: optimized geometry, GGA+U.

## Properties
For the density, the calculation gives 8.692 Mg/m³. As for the space-group type: No. 122.

The structure in extended XYZ format:
```
8
Lattice="-2.487 2.487 4.174 2.487 -2.487 4.174 2.487 2.487 -4.174" Properties=species:S:1:pos:R:3 pbc="T T T"
Cr 0.000 0.000 0.000
Cr 0.000 2.487 2.087
Re 2.487 0.000 2.087
Re 0.000 0.000 4.174
O 1.243 -1.237 3.130
O 1.250 1.243 1.043
O 1.243 3.723 -1.043
O 1.237 1.243 5.217
```

---

b | CrReO2: optimized geometry, GGA+U.

## Properties
For the density, the calculation gives 10.149 Mg/m³. As for the space-group type: No. 166.

The structure in extended XYZ format:
```
4
Lattice="1.423 0.822 6.298 -1.423 0.822 6.298 0.000 -1.644 6.298" Properties=species:S:1:pos:R:3 pbc="T T T"
Cr 0.000 0.000 0.000
Re 0.000 0.000 9.447
O 0.000 0.000 7.401
O 0.000 0.000 11.494
```

---

c | CrReO2: optimized geometry, GGA+U.

## Properties
For the density, the calculation gives 11.288 Mg/m³. As for the space-group type: No. 225.

The structure in extended XYZ format:
```
4
Lattice="0.000 2.709 2.709 2.709 0.000 2.709 2.709 2.709 0.000" Properties=species:S:1:pos:R:3 pbc="T T T"
Cr 0.000 0.000 0.000
Re 2.709 2.709 2.709
O 1.354 1.354 1.354
O 4.063 4.063 4.063
```

---

On energetic grounds, b is preferred over the next structure by 742 meV per atom.